(1)
LuZr2Pb: optimized geometry, GGA-PBE.

Geometry as extended XYZ:
```
16
Lattice="7.2755 0.0000 0.0000 0.0000 7.2755 0.0000 0.0000 0.0000 7.2755" Properties=species:S:1:pos:R:3 pbc="T T T"
Lu 0.0000 0.0000 0.0000
Lu 0.0000 3.6377 3.6377
Lu 3.6377 0.0000 3.6377
Lu 3.6377 3.6377 0.0000
Zr 0.0000 0.0000 3.6377
Zr 0.0000 3.6377 0.0000
Zr 1.8189 1.8189 1.8189
Zr 1.8189 5.4566 5.4566
Zr 3.6377 0.0000 0.0000
Zr 3.6377 3.6377 3.6377
Zr 5.4566 1.8189 5.4566
Zr 5.4566 5.4566 1.8189
Pb 1.8189 1.8189 5.4566
Pb 1.8189 5.4566 1.8189
Pb 5.4566 1.8189 1.8189
Pb 5.4566 5.4566 5.4566
```

Output
calculated total energy = -6.32 eV/atom

---

(2)
LuZrPb2: optimized geometry, GGA-PBE.

Geometry as extended XYZ:
```
16
Lattice="7.5661 0.0000 0.0000 0.0000 7.5661 0.0000 0.0000 0.0000 7.5661" Properties=species:S:1:pos:R:3 pbc="T T T"
Lu 0.0000 0.0000 0.0000
Lu 0.0000 3.7830 3.7830
Lu 3.7830 0.0000 3.7830
Lu 3.7830 3.7830 0.0000
Zr 1.8915 1.8915 5.6746
Zr 1.8915 5.6746 1.8915
Zr 5.6746 1.8915 1.8915
Zr 5.6746 5.6746 5.6746
Pb 0.0000 0.0000 3.7830
Pb 0.0000 3.7830 0.0000
Pb 1.8915 1.8915 1.8915
Pb 1.8915 5.6746 5.6746
Pb 3.7830 0.0000 0.0000
Pb 3.7830 3.7830 3.7830
Pb 5.6746 1.8915 5.6746
Pb 5.6746 5.6746 1.8915
```

Output
calculated total energy = -4.90 eV/atom

---

(3)
LuPd: optimized geometry, GGA-PBE.

Geometry as extended XYZ:
```
2
Lattice="3.4238 0.0000 0.0000 0.0000 3.4238 0.0000 0.0000 0.0000 3.4238" Properties=species:S:1:pos:R:3 pbc="T T T"
Lu 0.0000 0.0000 0.0000
Pd 1.7119 1.7119 1.7119
```

Output
energy of formation = -0.97 eV per atom
calculated total energy = -5.82 eV/atom

---

(4)
LuPd: optimized geometry, GGA-PBE.

Geometry as extended XYZ:
```
4
Lattice="3.8619 0.0000 0.0000 0.0000 3.5924 0.0000 0.0000 0.0000 6.2054" Properties=species:S:1:pos:R:3 pbc="T T T"
Lu 0.0000 0.0000 0.0000
Lu 0.0000 1.7962 3.1027
Pd 1.9310 0.0000 2.0676
Pd 1.9310 1.7962 5.1703
```

Output
energy of formation = -0.71 eV per atom
calculated total energy = -5.56 eV/atom